[1]
The following is a PBE calculation of a geometry-optimized Y4TlHg2 structure, from Alexandria. Values from VASP.

## Properties
ΔH_f (0 K), eV/atom: -0.30
Total magnetization, μB per atom: 0.00
Symmetry: No. 166
E, eV/atom: -4.418

Quantum ESPRESSO input file:
```
&SYSTEM
  ibrav = 0, nat = 7, ntyp = 3
/
ATOMIC_SPECIES
Y 88.91 Y.upf
Tl 204.38 Tl.upf
Hg 200.59 Hg.upf
ATOMIC_POSITIONS angstrom
Y 0.000 0.000 3.032
Y 0.000 0.000 9.500
Y 0.000 0.000 16.110
Y 0.000 0.000 22.578
Tl 0.000 0.000 12.805
Hg 0.000 0.000 6.440
Hg 0.000 0.000 19.169
CELL_PARAMETERS angstrom
2.608 1.506 8.537
-2.608 1.506 8.537
0.000 -3.011 8.537
```

[2]
The following is a PBE calculation of a geometry-optimized YTlHg structure, from Alexandria. Values from VASP.

## Properties
Energy above the most stable polymorph in this dataset, meV/atom: 50.0
ΔH_f (0 K), eV/atom: -0.31
Total magnetization, μB per atom: 0.00
Symmetry: No. 12
E, eV/atom: -3.350

Quantum ESPRESSO input file:
```
&SYSTEM
  ibrav = 0, nat = 6, ntyp = 3
/
ATOMIC_SPECIES
Y 88.91 Y.upf
Tl 204.38 Tl.upf
Hg 200.59 Hg.upf
ATOMIC_POSITIONS angstrom
Y -1.160 0.000 1.444
Y 7.748 0.000 4.185
Tl -0.414 0.000 4.947
Tl 7.002 0.000 0.682
Hg 1.956 0.000 2.212
Hg 4.632 0.000 3.416
CELL_PARAMETERS angstrom
5.654 -2.471 0.000
5.654 2.471 0.000
-4.721 0.000 5.629
```

[3]
The following is a PBE calculation of a geometry-optimized YTl2Hg2 structure, from Alexandria. Values from VASP.

## Properties
Energy above the most stable polymorph in this dataset, meV/atom: 0.0
ΔH_f (0 K), eV/atom: -0.09
Total magnetization, μB per atom: 0.00
Symmetry: No. 127
E, eV/atom: -2.452

Quantum ESPRESSO input file:
```
&SYSTEM
  ibrav = 0, nat = 10, ntyp = 3
/
ATOMIC_SPECIES
Y 88.91 Y.upf
Tl 204.38 Tl.upf
Hg 200.59 Hg.upf
ATOMIC_POSITIONS angstrom
Y 0.000 0.000 0.000
Y 4.091 4.091 0.000
Tl 1.434 2.657 2.065
Tl 2.657 6.748 2.065
Tl 5.525 1.434 2.065
Tl 6.748 5.525 2.065
Hg 1.055 5.147 0.000
Hg 3.036 1.055 0.000
Hg 5.147 7.127 0.000
Hg 7.127 3.036 0.000
CELL_PARAMETERS angstrom
8.182 0.000 0.000
0.000 8.182 0.000
0.000 0.000 4.129
```

[4]
The following is a PBE calculation of a geometry-optimized Y11Tl9Hg4 structure, from Alexandria. Values from VASP.

## Properties
ΔH_f (0 K), eV/atom: -0.38
Total magnetization, μB per atom: 0.00
Symmetry: No. 65
E, eV/atom: -4.279

Quantum ESPRESSO input file:
```
&SYSTEM
  ibrav = 0, nat = 24, ntyp = 3
/
ATOMIC_SPECIES
Y 88.91 Y.upf
Tl 204.38 Tl.upf
Hg 200.59 Hg.upf
ATOMIC_POSITIONS angstrom
Y 0.000 0.000 0.000
Y 3.622 3.908 0.000
Y 7.548 7.619 0.000
Y 4.215 0.000 0.000
Y 7.548 3.256 0.000
Y 3.622 -3.908 0.000
Y 11.475 3.908 0.000
Y 7.548 -3.256 0.000
Y 10.881 0.000 0.000
Y 7.548 -7.619 0.000
Y 11.475 -3.908 0.000
Tl 1.974 1.765 1.900
Tl 5.844 5.526 1.900
Tl 1.974 -1.765 1.900
Tl 9.252 5.526 1.900
Tl 7.548 0.000 1.900
Tl 5.844 -5.526 1.900
Tl 13.122 1.765 1.900
Tl 9.252 -5.526 1.900
Tl 13.122 -1.765 1.900
Hg 5.322 2.205 1.900
Hg 5.322 -2.205 1.900
Hg 9.774 2.205 1.900
Hg 9.774 -2.205 1.900
CELL_PARAMETERS angstrom
7.548 -11.343 0.000
7.548 11.343 0.000
0.000 0.000 3.801
```

[5]
The following is a PBE calculation of a geometry-optimized YTlHg structure, from Alexandria. Values from VASP.

## Properties
Energy above the most stable polymorph in this dataset, meV/atom: 92.1
ΔH_f (0 K), eV/atom: -0.26
Total magnetization, μB per atom: 0.11
Symmetry: No. 107
E, eV/atom: -3.308

Quantum ESPRESSO input file:
```
&SYSTEM
  ibrav = 0, nat = 3, ntyp = 3
/
ATOMIC_SPECIES
Y 88.91 Y.upf
Tl 204.38 Tl.upf
Hg 200.59 Hg.upf
ATOMIC_POSITIONS angstrom
Y 0.000 0.000 0.000
Tl 0.000 0.000 3.883
Hg 0.000 0.000 7.920
CELL_PARAMETERS angstrom
-1.807 1.807 6.045
1.807 -1.807 6.045
1.807 1.807 -6.045
```

[6]
The following is a PBE calculation of a geometry-optimized YTlHg structure, from Alexandria. Values from VASP.

## Properties
Energy above the most stable polymorph in this dataset, meV/atom: 40.0
ΔH_f (0 K), eV/atom: -0.32
Total magnetization, μB per atom: 0.00
Symmetry: No. 62
E, eV/atom: -3.360

Quantum ESPRESSO input file:
```
&SYSTEM
  ibrav = 0, nat = 12, ntyp = 3
/
ATOMIC_SPECIES
Y 88.91 Y.upf
Tl 204.38 Tl.upf
Hg 200.59 Hg.upf
ATOMIC_POSITIONS angstrom
Y 0.938 1.269 1.092
Y 2.360 3.806 5.809
Y 4.235 1.269 3.625
Y 5.658 3.806 8.342
Tl 0.924 1.269 4.247
Tl 2.373 3.806 8.965
Tl 4.222 1.269 0.470
Tl 5.671 3.806 5.187
Hg 0.801 1.269 7.392
Hg 2.496 3.806 2.675
Hg 4.099 1.269 6.759
Hg 5.794 3.806 2.042
CELL_PARAMETERS angstrom
6.595 0.000 0.000
0.000 5.075 0.000
0.000 0.000 9.434
```

[7]
The following is a PBE calculation of a geometry-optimized Y6TlHg8 structure, from Alexandria. Values from VASP.

## Properties
ΔH_f (0 K), eV/atom: -0.34
Total magnetization, μB per atom: 0.00
Symmetry: No. 148
E, eV/atom: -3.240

Quantum ESPRESSO input file:
```
&SYSTEM
  ibrav = 0, nat = 15, ntyp = 3
/
ATOMIC_SPECIES
Y 88.91 Y.upf
Tl 204.38 Tl.upf
Hg 200.59 Hg.upf
ATOMIC_POSITIONS angstrom
Y -3.104 0.441 8.115
Y -1.934 -2.468 10.556
Y 1.170 -2.909 8.115
Y -1.170 2.909 10.556
Y 1.934 2.468 8.115
Y 3.104 -0.441 10.556
Tl 0.000 0.000 9.335
Hg -1.692 -2.238 7.289
Hg 0.000 0.000 3.752
Hg -2.784 0.346 11.381
Hg -1.092 2.585 7.289
Hg 1.092 -2.585 11.381
Hg 2.784 -0.346 7.289
Hg 0.000 0.000 14.918
Hg 1.692 2.238 11.381
CELL_PARAMETERS angstrom
4.407 2.544 6.223
-4.407 2.544 6.223
0.000 -5.089 6.223
```

[8]
The following is a PBE calculation of a geometry-optimized Y4Tl2Hg structure, from Alexandria. Values from VASP.

## Properties
ΔH_f (0 K), eV/atom: -0.29
Total magnetization, μB per atom: 0.00
Symmetry: No. 166
E, eV/atom: -4.708

Quantum ESPRESSO input file:
```
&SYSTEM
  ibrav = 0, nat = 7, ntyp = 3
/
ATOMIC_SPECIES
Y 88.91 Y.upf
Tl 204.38 Tl.upf
Hg 200.59 Hg.upf
ATOMIC_POSITIONS angstrom
Y 0.000 0.000 3.167
Y 0.000 0.000 9.643
Y 0.000 0.000 16.141
Y 0.000 0.000 22.617
Tl 0.000 0.000 6.512
Tl 0.000 0.000 19.272
Hg 0.000 0.000 12.892
CELL_PARAMETERS angstrom
2.632 1.520 8.595
-2.632 1.520 8.595
0.000 -3.039 8.595
```

[9]
The following is a PBE calculation of a geometry-optimized Y3TlHg structure, from Alexandria. Values from VASP.

## Properties
Energy above the most stable polymorph in this dataset, meV/atom: 491.9
ΔH_f (0 K), eV/atom: 0.15
Total magnetization, μB per atom: 0.00
Symmetry: No. 221
E, eV/atom: -4.265

Quantum ESPRESSO input file:
```
&SYSTEM
  ibrav = 0, nat = 5, ntyp = 3
/
ATOMIC_SPECIES
Y 88.91 Y.upf
Tl 204.38 Tl.upf
Hg 200.59 Hg.upf
ATOMIC_POSITIONS angstrom
Y 0.000 0.000 2.813
Y 0.000 2.813 0.000
Y 2.813 0.000 0.000
Tl 2.813 2.813 2.813
Hg 0.000 0.000 0.000
CELL_PARAMETERS angstrom
5.627 0.000 0.000
0.000 5.627 0.000
0.000 0.000 5.627
```

[10]
The following is a PBE calculation of a geometry-optimized YTlHg structure, from Alexandria. Values from VASP.

## Properties
Energy above the most stable polymorph in this dataset, meV/atom: 174.4
ΔH_f (0 K), eV/atom: -0.18
Total magnetization, μB per atom: 0.00
Symmetry: No. 71
E, eV/atom: -3.225

Quantum ESPRESSO input file:
```
&SYSTEM
  ibrav = 0, nat = 6, ntyp = 3
/
ATOMIC_SPECIES
Y 88.91 Y.upf
Tl 204.38 Tl.upf
Hg 200.59 Hg.upf
ATOMIC_POSITIONS angstrom
Y 0.000 0.000 2.604
Y 0.000 0.000 14.103
Tl 1.704 1.454 0.000
Tl 0.000 1.464 8.354
Hg 0.000 0.000 5.592
Hg 0.000 0.000 11.115
CELL_PARAMETERS angstrom
-1.704 2.918 8.354
1.704 -2.918 8.354
1.704 2.918 -8.354
```

[11]
The following is a PBE calculation of a geometry-optimized Y4Tl5Hg2 structure, from Alexandria. Values from VASP.

## Properties
ΔH_f (0 K), eV/atom: -0.32
Total magnetization, μB per atom: 0.00
Symmetry: No. 10
E, eV/atom: -3.800

Quantum ESPRESSO input file:
```
&SYSTEM
  ibrav = 0, nat = 11, ntyp = 3
/
ATOMIC_SPECIES
Y 88.91 Y.upf
Tl 204.38 Tl.upf
Hg 200.59 Hg.upf
ATOMIC_POSITIONS angstrom
Y 1.756 0.000 3.576
Y 1.804 0.000 8.828
Y 6.374 0.000 1.015
Y 6.422 0.000 6.266
Tl 1.004 1.831 6.162
Tl 3.788 1.831 1.583
Tl 4.089 1.831 4.921
Tl 4.391 1.831 8.260
Tl 7.174 1.831 3.680
Hg 0.703 1.831 1.272
Hg 7.475 1.831 8.570
CELL_PARAMETERS angstrom
8.359 0.000 0.000
0.000 3.662 0.000
-0.180 0.000 9.842
```

[12]
The following is a PBE calculation of a geometry-optimized YTlHg structure, from Alexandria. Values from VASP.

## Properties
Energy above the most stable polymorph in this dataset, meV/atom: 968.5
ΔH_f (0 K), eV/atom: 0.61
Total magnetization, μB per atom: 0.17
Symmetry: No. 194
E, eV/atom: -2.431

Quantum ESPRESSO input file:
```
&SYSTEM
  ibrav = 0, nat = 6, ntyp = 3
/
ATOMIC_SPECIES
Y 88.91 Y.upf
Tl 204.38 Tl.upf
Hg 200.59 Hg.upf
ATOMIC_POSITIONS angstrom
Y 0.000 0.000 0.000
Y 0.000 0.000 5.973
Tl 0.000 0.000 2.986
Tl 0.000 0.000 8.959
Hg 0.000 2.798 2.986
Hg 2.423 1.399 8.959
CELL_PARAMETERS angstrom
4.847 0.000 0.000
-2.423 4.197 0.000
0.000 0.000 11.946
```

[13]
The following is a PBE calculation of a geometry-optimized Y6Tl3Hg structure, from Alexandria. Values from VASP.

## Properties
Energy above the most stable polymorph in this dataset, meV/atom: 0.0
ΔH_f (0 K), eV/atom: -0.31
Total magnetization, μB per atom: 0.06
Symmetry: No. 11
E, eV/atom: -4.933

Quantum ESPRESSO input file:
```
&SYSTEM
  ibrav = 0, nat = 20, ntyp = 3
/
ATOMIC_SPECIES
Y 88.91 Y.upf
Tl 204.38 Tl.upf
Hg 200.59 Hg.upf
ATOMIC_POSITIONS angstrom
Y -1.046 1.328 4.510
Y 0.836 3.983 2.013
Y -0.952 1.328 11.108
Y 0.517 3.983 9.109
Y 2.372 1.328 3.675
Y 1.632 1.328 6.911
Y 4.449 3.983 4.210
Y 3.710 3.983 7.447
Y 5.565 1.328 2.013
Y 7.033 3.983 0.013
Y 5.246 1.328 9.109
Y 7.128 3.983 6.611
Tl -2.792 3.983 9.904
Tl -1.254 1.328 7.932
Tl 1.053 3.983 5.261
Tl 5.028 1.328 5.861
Tl 7.336 3.983 3.190
Tl 8.874 1.328 1.217
Hg 3.797 3.983 1.254
Hg 2.285 1.328 9.868
CELL_PARAMETERS angstrom
9.542 0.000 0.000
0.000 5.311 0.000
-3.460 0.000 11.121
```

[14]
The following is a PBE calculation of a geometry-optimized Y4Tl2Hg3 structure, from Alexandria. Values from VASP.

## Properties
ΔH_f (0 K), eV/atom: -0.36
Total magnetization, μB per atom: 0.00
Symmetry: No. 12
E, eV/atom: -3.855

Quantum ESPRESSO input file:
```
&SYSTEM
  ibrav = 0, nat = 9, ntyp = 3
/
ATOMIC_SPECIES
Y 88.91 Y.upf
Tl 204.38 Tl.upf
Hg 200.59 Hg.upf
ATOMIC_POSITIONS angstrom
Y -0.012 0.000 3.508
Y 2.908 0.000 9.288
Y 5.914 0.000 1.211
Y 8.834 0.000 6.991
Tl 2.950 0.000 2.246
Tl 5.872 0.000 8.253
Hg 0.000 0.000 0.000
Hg 2.924 0.000 5.835
Hg 5.898 0.000 4.664
CELL_PARAMETERS angstrom
4.439 -2.572 0.000
4.439 2.572 0.000
-0.055 0.000 10.499
```

[15]
The following is a PBE calculation of a geometry-optimized Y6Tl3Hg structure, from Alexandria. Values from VASP.

## Properties
Energy above the most stable polymorph in this dataset, meV/atom: 18.6
ΔH_f (0 K), eV/atom: -0.30
Total magnetization, μB per atom: 0.00
Symmetry: No. 58
E, eV/atom: -4.914

Quantum ESPRESSO input file:
```
&SYSTEM
  ibrav = 0, nat = 20, ntyp = 3
/
ATOMIC_SPECIES
Y 88.91 Y.upf
Tl 204.38 Tl.upf
Hg 200.59 Hg.upf
ATOMIC_POSITIONS angstrom
Y 0.003 3.019 0.000
Y 9.105 9.203 0.000
Y 1.491 1.102 2.633
Y 1.544 4.978 2.633
Y 3.010 11.088 0.000
Y 3.063 7.213 0.000
Y 4.557 3.092 2.633
Y 4.551 9.129 2.633
Y 6.045 5.009 0.000
Y 6.098 1.133 0.000
Y 7.564 7.244 2.633
Y 7.617 11.119 2.633
Tl 0.000 6.111 0.000
Tl 1.513 9.146 2.633
Tl 3.041 3.035 0.000
Tl 4.554 0.000 2.633
Tl 6.067 9.186 0.000
Tl 7.595 3.076 2.633
Hg 0.000 0.000 0.000
Hg 4.554 6.111 2.633
CELL_PARAMETERS angstrom
9.108 0.000 0.000
0.000 12.221 0.000
0.000 0.000 5.265
```

[16]
The following is a PBE calculation of a geometry-optimized YTl2Hg2 structure, from Alexandria. Values from VASP.

## Properties
Energy above the most stable polymorph in this dataset, meV/atom: 63.0
ΔH_f (0 K), eV/atom: -0.03
Total magnetization, μB per atom: 0.08
Symmetry: No. 127
E, eV/atom: -2.388

Quantum ESPRESSO input file:
```
&SYSTEM
  ibrav = 0, nat = 10, ntyp = 3
/
ATOMIC_SPECIES
Y 88.91 Y.upf
Tl 204.38 Tl.upf
Hg 200.59 Hg.upf
ATOMIC_POSITIONS angstrom
Y 0.000 0.000 0.000
Y 4.237 4.237 0.000
Tl 1.136 3.101 0.000
Tl 3.101 7.338 0.000
Tl 5.373 1.136 0.000
Tl 7.338 5.373 0.000
Hg 1.428 5.665 1.910
Hg 2.809 1.428 1.910
Hg 5.665 7.046 1.910
Hg 7.046 2.809 1.910
CELL_PARAMETERS angstrom
8.474 0.000 0.000
0.000 8.474 0.000
0.000 0.000 3.821
```

[17]
The following is a PBE calculation of a geometry-optimized YTl4Hg structure, from Alexandria. Values from VASP.

## Properties
ΔH_f (0 K), eV/atom: 0.10
Total magnetization, μB per atom: 0.00
Symmetry: No. 216
E, eV/atom: -2.606

Quantum ESPRESSO input file:
```
&SYSTEM
  ibrav = 0, nat = 6, ntyp = 3
/
ATOMIC_SPECIES
Y 88.91 Y.upf
Tl 204.38 Tl.upf
Hg 200.59 Hg.upf
ATOMIC_POSITIONS angstrom
Y 0.000 0.000 0.000
Tl 3.352 3.352 3.352
Tl 5.585 5.585 3.352
Tl 5.585 3.352 5.585
Tl 3.352 5.585 5.585
Hg 6.703 6.703 6.703
CELL_PARAMETERS angstrom
0.000 4.469 4.469
4.469 0.000 4.469
4.469 4.469 0.000
```

[18]
The following is a PBE calculation of a geometry-optimized YTlHg structure, from Alexandria. Values from VASP.

## Properties
Energy above the most stable polymorph in this dataset, meV/atom: 4.4
ΔH_f (0 K), eV/atom: -0.35
Total magnetization, μB per atom: 0.00
Symmetry: No. 2
E, eV/atom: -3.396

Quantum ESPRESSO input file:
```
&SYSTEM
  ibrav = 0, nat = 6, ntyp = 3
/
ATOMIC_SPECIES
Y 88.91 Y.upf
Tl 204.38 Tl.upf
Hg 200.59 Hg.upf
ATOMIC_POSITIONS angstrom
Y 1.316 0.761 1.615
Y 6.573 3.797 4.875
Tl 3.942 2.280 0.000
Tl 3.944 2.279 3.245
Hg 1.320 0.754 4.859
Hg 6.569 3.804 1.631
CELL_PARAMETERS angstrom
5.261 0.000 0.000
2.623 4.561 0.000
0.005 -0.002 6.490
```

[19]
The following is a PBE calculation of a geometry-optimized Y4Tl5Hg structure, from Alexandria. Values from VASP.

## Properties
ΔH_f (0 K), eV/atom: -0.33
Total magnetization, μB per atom: 0.00
Symmetry: No. 12
E, eV/atom: -4.130

Quantum ESPRESSO input file:
```
&SYSTEM
  ibrav = 0, nat = 10, ntyp = 3
/
ATOMIC_SPECIES
Y 88.91 Y.upf
Tl 204.38 Tl.upf
Hg 200.59 Hg.upf
ATOMIC_POSITIONS angstrom
Y 0.753 0.000 2.076
Y 3.368 0.000 5.389
Y 11.991 0.000 0.736
Y 14.607 0.000 4.049
Tl 0.017 0.000 5.220
Tl 4.360 0.000 2.359
Tl 7.680 0.000 3.063
Tl 11.000 0.000 3.767
Tl 15.342 0.000 0.906
Hg 8.776 0.000 0.000
CELL_PARAMETERS angstrom
8.776 -2.532 0.000
8.776 2.532 0.000
-2.192 0.000 6.126
```

[20]
The following is a PBE calculation of a geometry-optimized YTlHg structure, from Alexandria. Values from VASP.

## Properties
Energy above the most stable polymorph in this dataset, meV/atom: 44.3
ΔH_f (0 K), eV/atom: -0.31
Total magnetization, μB per atom: 0.00
Symmetry: No. 1
E, eV/atom: -3.356

Quantum ESPRESSO input file:
```
&SYSTEM
  ibrav = 0, nat = 6, ntyp = 3
/
ATOMIC_SPECIES
Y 88.91 Y.upf
Tl 204.38 Tl.upf
Hg 200.59 Hg.upf
ATOMIC_POSITIONS angstrom
Y 0.000 0.000 0.000
Y -0.002 2.572 3.864
Tl 2.481 0.840 5.179
Tl 2.489 4.349 3.157
Hg 0.017 3.059 0.642
Hg 2.482 1.282 1.872
CELL_PARAMETERS angstrom
4.974 0.000 0.000
-2.463 4.826 0.000
-0.009 -0.894 6.511
```

Which Fermi-level density of states belongs to each record? In order, 8.5 1.9 2.5 18.0 1.5 1.5 13.2 7.3 8.1 2.0 6.6 3.0 10.5 10.7 7.6 2.8 4.9 1.2 6.7 1.4 states/eV/f.u..